Model P:
NbHgAsBr2 (PBE-GGA, optimized geometry); magnetic moment = 0.456 μB/atom; volume = 30.88 Å³ per atom
1.0
-4.4234 -2.2760 2.1552
2.2564 -4.8996 -0.5430
2.1078 0.4398 4.7906
As Nb Hg Br
1 1 1 2
direct
0.0000 0.0000 0.5000
0.5000 0.5000 0.5000
0.0000 0.0000 0.0000
0.0000 0.5000 0.0000
0.5000 0.0000 0.0000

=====

Model Q:
NbHgAsBr2 (PBE-GGA, optimized geometry); magnetic moment = 0.000 μB/atom; volume = 28.05 Å³ per atom
1.0
-4.7040 1.6748 1.6118
-0.9659 -4.7179 2.0831
2.0525 1.5250 4.4056
As Nb Hg Br
1 1 1 2
direct
0.0000 0.0000 0.5000
0.0000 0.0000 0.0000
0.5000 0.5000 0.5000
0.0000 0.5000 0.0000
0.5000 0.0000 0.0000

=====

model Q is favored, and the nearest alternative lies 1131 meV per atom above it.

=====

Model P:
NiHgAsBr2 (PBE-GGA, optimized geometry); magnetic moment = 0.000 μB/atom; volume = 24.56 Å³ per atom
1.0
5.2151 0.0000 0.0000
0.0000 5.2151 0.0000
0.0000 0.0000 4.5151
Ni As Hg Br
1 1 1 2
direct
0.0000 0.0000 0.0000
0.0000 0.0000 0.5000
0.5000 0.5000 0.5000
0.0000 0.5000 0.0000
0.5000 0.0000 0.0000

=====

Model Q:
NiHgAsBr2 (PBE-GGA, optimized geometry); magnetic moment = 0.555 μB/atom; volume = 33.01 Å³ per atom
1.0
-4.1266 1.6243 3.4315
-3.7886 -1.4358 -3.8765
-0.2287 -4.8410 2.0165
Ni As Hg Br
1 1 1 2
direct
0.5000 0.5000 0.5000
0.0000 0.0000 0.5000
0.0000 0.0000 0.0000
0.0000 0.5000 0.0000
0.5000 0.0000 0.0000

=====

model P is favored, and the nearest alternative lies 810 meV per atom above it.

=====

Model P:
HgAs2BrO (PBE-GGA, optimized geometry); magnetic moment = 0.659 μB/atom; volume = 32.00 Å³ per atom
1.0
-5.0285 1.4218 -0.4096
-0.5001 -2.9987 -4.2700
-1.5472 -4.5075 3.3467
O As Hg Br
1 2 1 1
direct
0.5000 0.5000 0.5000
0.0000 0.5000 0.0000
0.5000 0.0000 0.0000
0.0000 0.0000 0.0000
0.0000 0.0000 0.5000

=====

Model Q:
HgAs2BrO (PBE-GGA, optimized geometry); magnetic moment = 0.000 μB/atom; volume = 24.11 Å³ per atom
1.0
4.1744 0.0000 0.0000
0.0000 4.1744 0.0000
0.0000 0.0000 6.9190
O As Hg Br
1 2 1 1
direct
0.0000 0.0000 0.0000
0.0000 0.5000 0.0000
0.5000 0.0000 0.0000
0.5000 0.5000 0.5000
0.0000 0.0000 0.5000

=====

model Q is favored, and the nearest alternative lies 1075 meV per atom above it.

=====

Model P:
HgAsPBr2 (PBE-GGA, optimized geometry); magnetic moment = 0.166 μB/atom; volume = 32.40 Å³ per atom
1.0
-0.2460 -1.4964 5.2023
-3.6401 -3.8088 -1.2677
4.0796 -3.6168 -0.8474
P As Hg Br
1 1 1 2
direct
0.5000 0.5000 0.5000
0.0000 0.0000 0.5000
0.0000 0.0000 0.0000
0.0000 0.5000 0.0000
0.5000 0.0000 0.0000

=====

Model Q:
HgAsPBr2 (PBE-GGA, optimized geometry); magnetic moment = 0.060 μB/atom; volume = 26.44 Å³ per atom
1.0
-4.5636 -2.0655 -1.0815
1.7200 -4.5873 1.5036
-1.5460 0.9586 4.6930
P As Hg Br
1 1 1 2
direct
0.0000 0.0000 0.0000
0.0000 0.0000 0.5000
0.5000 0.5000 0.5000
0.0000 0.5000 0.0000
0.5000 0.0000 0.0000

=====

model Q is favored, and the nearest alternative lies 593 meV per atom above it.

=====

Model P:
HgAsSBr2 (PBE-GGA, optimized geometry); magnetic moment = 0.157 μB/atom; volume = 28.33 Å³ per atom
1.0
-4.0350 2.4298 -2.5706
-0.4198 -4.2009 -3.3119
-3.2197 -2.0987 3.0702
S As Hg Br
1 1 1 2
direct
0.0000 0.0000 0.0000
0.0000 0.0000 0.5000
0.5000 0.5000 0.5000
0.0000 0.5000 0.0000
0.5000 0.0000 0.0000

=====

Model Q:
HgAsSBr2 (PBE-GGA, optimized geometry); magnetic moment = 0.000 μB/atom; volume = 30.78 Å³ per atom
1.0
-2.4107 1.2055 -4.5340
-4.2435 -2.7340 1.5294
-2.0982 4.5586 2.3276
S As Hg Br
1 1 1 2
direct
0.5000 0.5000 0.5000
0.0000 0.0000 0.5000
0.0000 0.0000 0.0000
0.0000 0.5000 0.0000
0.5000 0.0000 0.0000

=====

model P is favored, and the nearest alternative lies 441 meV per atom above it.

=====

Model P:
ScHgAsBr2 (PBE-GGA, optimized geometry); magnetic moment = 0.092 μB/atom; volume = 30.09 Å³ per atom
1.0
-1.4939 -1.5817 4.7376
0.9658 -4.9432 -1.3457
5.2034 0.5224 1.8152
Sc As Hg Br
1 1 1 2
direct
0.0000 0.0000 0.0000
0.0000 0.0000 0.5000
0.5000 0.5000 0.5000
0.0000 0.5000 0.0000
0.5000 0.0000 0.0000

=====

Model Q:
ScHgAsBr2 (PBE-GGA, optimized geometry); magnetic moment = 0.059 μB/atom; volume = 30.98 Å³ per atom
1.0
-5.2857 -0.5220 0.8130
-0.6066 -1.7260 -5.0523
0.7507 -5.0533 1.6362
Sc As Hg Br
1 1 1 2
direct
0.5000 0.5000 0.5000
0.0000 0.0000 0.5000
0.0000 0.0000 0.0000
0.0000 0.5000 0.0000
0.5000 0.0000 0.0000

=====

model P is favored, and the nearest alternative lies 858 meV per atom above it.